Record 1
# Ba2BrCl

Ba2BrCl after structural relaxation (PBE, Alexandria via LeMat-Bulk).

Computed properties:
The total DFT energy (no corrections) is -13.572 eV per formula unit. The calculation puts the uncorrected formation energy at -1552 meV/atom. For the energy above the most stable polymorph in this dataset, the calculation gives 11.1 kJ/mol of atoms.

Cell lengths 4.2347, 5.0007, 8.1355 Å; angles 90.00, 90.00, 90.00 degrees
Closest atoms and distances in Å follow each position.
Positions (direct):
1 Ba 0.0000 0.0000 0.0000  4 Cl 3.28
2 Ba 0.5000 0.0000 0.5000  4 Br 3.28
3 Br 0.0000 0.5000 0.5000  4 Ba 3.28
4 Cl 0.5000 0.5000 0.0000  4 Ba 3.28

Record 2
# Ba2BrCl

Ba2BrCl after structural relaxation (PBE, Alexandria via LeMat-Bulk).

Computed properties:
The total DFT energy (no corrections) is -13.844 eV per formula unit. The calculation puts the uncorrected formation energy at -1620 meV/atom. For the energy above the most stable polymorph in this dataset, the calculation gives 4.6 kJ/mol of atoms.

Cell lengths 4.3109, 10.2897, 10.2897 Å; angles 23.99, 90.00, 90.00 degrees
Closest atoms and distances in Å follow each position.
Positions (direct):
1 Ba 0.0000 0.0000 0.0000  4 Cl 3.21
2 Ba 0.5000 0.3128 0.3128  4 Br 3.36
3 Br 0.0000 0.7410 0.7410  4 Ba 3.36
4 Cl 0.5000 0.5522 0.5522  4 Ba 3.21

Record 3
# Cs2BaBrCl6

Cs2BaBrCl6 after structural relaxation (PBE, Alexandria via LeMat-Bulk).

Computed properties:
The total DFT energy (no corrections) is -30.119 eV per formula unit. The calculation puts the uncorrected formation energy at -1374 meV/atom.

Cell lengths 8.7119, 8.7119, 8.7119 Å; angles 126.24, 126.24, 79.49 degrees
Closest atoms and distances in Å follow each position.
Positions (direct):
1 Cs 0.2500 0.7500 0.5000  12 Cl 3.95-4.36
2 Cs 0.7500 0.2500 0.5000  12 Cl 3.95-4.36
3 Ba 0.0000 0.0000 0.0000  6 Cl 2.99
4 Br 0.5000 0.5000 0.0000  4 Cl 2.58
5 Cl 0.2233 0.2233 0.0000  1 Ba 2.99
6 Cl 0.2687 0.2687 0.5374  1 Br 2.58
7 Cl 0.2687 0.7313 0.0000  1 Br 2.58
8 Cl 0.7313 0.2687 0.0000  1 Br 2.58
9 Cl 0.7313 0.7313 0.4626  1 Br 2.58
10 Cl 0.7767 0.7767 0.0000  1 Ba 2.99

Record 4
# Cs2BaBr6Cl

Cs2BaBr6Cl after structural relaxation (PBE, Alexandria via LeMat-Bulk).

Computed properties:
The total DFT energy (no corrections) is -27.294 eV per formula unit. The calculation puts the uncorrected formation energy at -1178 meV/atom.

Cell lengths 8.5179, 8.5179, 8.5179 Å; angles 115.63, 115.63, 97.76 degrees
Closest atoms and distances in Å follow each position.
Positions (direct):
1 Cs 0.2500 0.7500 0.5000  12 Br 4.26-4.55
2 Cs 0.7500 0.2500 0.5000  12 Br 4.26-4.55
3 Ba 0.0000 0.0000 0.0000  6 Br 3.10-3.20
4 Br 0.2418 0.2418 0.4835  1 Ba 3.10, 1 Cl 3.31
5 Br 0.2418 0.7582 0.0000  1 Ba 3.10, 1 Cl 3.31
6 Br 0.2854 0.2854 0.0000  1 Cl 2.40
7 Br 0.7146 0.7146 0.0000  1 Cl 2.40
8 Br 0.7582 0.2418 0.0000  1 Ba 3.10, 1 Cl 3.31
9 Br 0.7582 0.7582 0.5165  1 Ba 3.10, 1 Cl 3.31
10 Cl 0.5000 0.5000 0.0000  2 Br 2.40

Record 5
# Cs2BaBr2Cl2

Cs2BaBr2Cl2 after structural relaxation (PBE, Alexandria via LeMat-Bulk).

Computed properties:
The total DFT energy (no corrections) is -25.074 eV per formula unit. The calculation puts the uncorrected formation energy at -2058 meV/atom.

Cell lengths 10.2766, 10.2766, 10.2766 Å; angles 146.05, 146.05, 48.77 degrees
Closest atoms and distances in Å follow each position.
Positions (direct):
1 Cs 0.1401 0.1401 0.0000  1 Br 3.53
2 Cs 0.8599 0.8599 0.0000  1 Br 3.53
3 Ba 0.5000 0.5000 0.0000  4 Cl 3.00, 2 Br 3.20
4 Br 0.3289 0.3289 0.0000  1 Ba 3.20, 1 Cs 3.53
5 Br 0.6711 0.6711 0.0000  1 Ba 3.20, 1 Cs 3.53
6 Cl 0.0000 0.5000 0.5000  2 Ba 3.00
7 Cl 0.5000 0.0000 0.5000  2 Ba 3.00

Record 6
# BaCuBrCl2

BaCuBrCl2 after structural relaxation (PBE, Alexandria via LeMat-Bulk).

Computed properties:
The total DFT energy (no corrections) is -18.803 eV per formula unit. The calculation puts the uncorrected formation energy at -1484 meV/atom.

Cell lengths 7.2005, 7.2005, 7.2005 Å; angles 120.92, 120.92, 88.41 degrees
Closest atoms and distances in Å follow each position.
Positions (direct):
1 Ba 0.0000 0.5000 0.5000  4 Cl 3.18-3.19, 4 Br 3.55
2 Ba 0.5000 0.0000 0.5000  4 Cl 3.18-3.19, 4 Br 3.55
3 Cu 0.2506 0.2506 0.0000  2 Br 2.58, 4 Cl 2.59
4 Cu 0.7506 0.7506 0.0000  2 Br 2.58, 4 Cl 2.59
5 Br 0.0004 0.0004 0.0000  2 Cu 2.58
6 Br 0.5004 0.5004 0.0000  2 Cu 2.58
7 Cl 0.0643 0.5643 0.1283  2 Cu 2.59
8 Cl 0.4360 0.9360 0.8717  2 Cu 2.59
9 Cl 0.5643 0.4360 0.5000  2 Cu 2.59
10 Cl 0.9360 0.0643 0.5000  2 Cu 2.59

| no. | total magnetization (μB per atom) |
| --- | --- |
| 1 | 0.23 |
| 2 | 0.00 |
| 3 | 0.10 |
| 4 | 0.10 |
| 5 | 0.03 |
| 6 | 0.00 |